A relaxed structure of CoPtRhO4, computed with PBE+U.

Values from the calculation:
* volume: 81.9 Å³/f.u.
* space group: Cmcm (63)
* calculated total energy: -5.88 eV/atom

Unit cell a=5.608 b=5.608 c=6.033 alpha=90.00 beta=90.00 gamma=120.35
Atoms (fractional coordinates):
Co 0.176 0.824 0.750
Co 0.824 0.176 0.250
Pt 0.153 0.847 0.250
Pt 0.847 0.153 0.750
Rh 0.500 0.500 0.000
Rh 0.500 0.500 0.500
O 0.233 0.257 0.250
O 0.257 0.233 0.750
O 0.295 0.705 0.002
O 0.295 0.705 0.498
O 0.705 0.295 0.502
O 0.705 0.295 0.998
O 0.743 0.767 0.250
O 0.767 0.743 0.750